(1)
Below is a relaxed AlCdW2 crystal, with properties calculated at the PBE level.

Its volume is 66.80 Å³ per cell. As for the offset from the most stable computed form: 179 meV/atom. The calculation puts the density of states at the Fermi level at 2.3 states/eV/f.u. The energy relative to the elements comes out at 0.43 eV/atom.

Cell: 4.770 4.770 4.770 Å, 127.16 127.16 77.99°
Element x y z (fractional)
Al: 0.000 0.000 0.000
Cd: 0.250 0.750 0.500
W: 0.500 0.500 0.000
W: 0.750 0.250 0.500

(2)
Below is a relaxed CrCu2P crystal, with properties calculated at the PBE level.

Its volume is 50.12 Å³ per cell. The calculation puts the density of states at the Fermi level at 2.7 states/eV/f.u. The energy relative to the elements comes out at 0.15 eV/atom.

Cell: 7.959 7.959 7.959 Å, 19.70 19.70 19.70°
Element x y z (fractional)
Cr: 0.000 0.000 0.000
Cu: 0.245 0.245 0.245
Cu: 0.490 0.490 0.490
P: 0.737 0.737 0.737

(3)
Below is a relaxed Si3Br crystal, with properties calculated at the PBE level.

Its volume is 160.39 Å³ per cell. As for the offset from the most stable computed form: 52 meV/atom. For the uncorrected formation energy, the calculation gives 0.311 eV/atom. The calculation puts the density of states at the Fermi level at 1.3 states/eV/f.u.

Cell: 7.444 7.444 3.481 Å, 90.00 90.00 123.76°
Element x y z (fractional)
Si: 0.002 0.627 0.250
Si: 0.079 0.921 0.750
Si: 0.373 0.998 0.250
Si: 0.627 0.002 0.750
Si: 0.921 0.079 0.250
Si: 0.998 0.373 0.750
Br: 0.396 0.604 0.750
Br: 0.604 0.396 0.250

(4)
Below is a relaxed RbTiPbF6 crystal, with properties calculated at the PBE level.

Its volume is 332.14 Å³ per cell. For the uncorrected formation energy, the calculation gives -2.915 eV/atom. The calculation puts the density of states at the Fermi level at 3.6 states/eV/f.u.

Cell: 7.709 7.709 7.709 Å, 119.25 117.12 93.18°
Element x y z (fractional)
Rb: 0.347 0.097 0.250
Rb: 0.653 0.903 0.750
Ti: 0.000 0.000 0.500
Ti: 0.000 0.500 0.000
Pb: 0.000 0.500 0.500
Pb: 0.500 0.500 0.000
F: 0.042 0.342 0.144
F: 0.042 0.898 0.700
F: 0.046 0.296 0.750
F: 0.302 0.102 0.644
F: 0.302 0.658 0.200
F: 0.377 0.627 0.750
F: 0.623 0.373 0.250
F: 0.698 0.342 0.800
F: 0.698 0.898 0.356
F: 0.954 0.704 0.250
F: 0.958 0.102 0.300
F: 0.958 0.658 0.856

(5)
Below is a relaxed Tb2Ho5Bi4 crystal, with properties calculated at the PBE level.

Its volume is 354.41 Å³ per cell. The calculation puts the density of states at the Fermi level at 9.1 states/eV/f.u. The energy relative to the elements comes out at -0.21 eV/atom.

Cell: 12.656 12.656 8.110 Å, 91.34 91.34 15.84°
Element x y z (fractional)
Tb: 0.233 0.233 0.321
Tb: 0.767 0.767 0.679
Ho: 0.000 0.000 0.500
Ho: 0.328 0.328 0.013
Ho: 0.361 0.361 0.448
Ho: 0.639 0.639 0.552
Ho: 0.672 0.672 0.987
Bi: 0.099 0.099 0.237
Bi: 0.450 0.450 0.191
Bi: 0.550 0.550 0.809
Bi: 0.901 0.901 0.763

(6)
Below is a relaxed TcBrCl crystal, with properties calculated at the PBE level.

Its volume is 69.33 Å³ per cell. As for the offset from the most stable computed form: 396 meV/atom. For the uncorrected formation energy, the calculation gives 0.333 eV/atom. The calculation puts the density of states at the Fermi level at 3.3 states/eV/f.u.

Cell: 7.153 7.153 7.153 Å, 154.18 154.18 36.84°
Element x y z (fractional)
Tc: 0.000 0.000 0.000
Br: 0.382 0.382 0.000
Cl: 0.612 0.612 0.000

(7)
Below is a relaxed Ho3Sc4 crystal, with properties calculated at the PBE level.

Its volume is 189.99 Å³ per cell. The calculation puts the density of states at the Fermi level at 11.6 states/eV/f.u. The energy relative to the elements comes out at 0.05 eV/atom.

Cell: 5.804 5.804 7.571 Å, 97.77 97.77 48.88°
Element x y z (fractional)
Ho: 0.000 0.000 0.000
Ho: 0.426 0.426 0.285
Ho: 0.574 0.574 0.715
Sc: 0.144 0.144 0.433
Sc: 0.287 0.287 0.853
Sc: 0.713 0.713 0.147
Sc: 0.856 0.856 0.567

(8)
Below is a relaxed CeAlPdRu crystal, with properties calculated at the PBE level.

Its volume is 72.50 Å³ per cell. The calculation puts the density of states at the Fermi level at 4.9 states/eV/f.u. The energy relative to the elements comes out at -0.51 eV/atom.

Cell: 4.680 4.680 4.680 Å, 60.00 60.00 60.00°
Element x y z (fractional)
Ce: 0.000 0.000 0.000
Al: 0.500 0.500 0.500
Pd: 0.750 0.750 0.750
Ru: 0.250 0.250 0.250

(9)
Below is a relaxed ZrPtOF2 crystal, with properties calculated at the PBE level.

Its volume is 75.72 Å³ per cell. As for the offset from the most stable computed form: 1319 meV/atom. For the uncorrected formation energy, the calculation gives -0.474 eV/atom. The calculation puts the density of states at the Fermi level at 5.9 states/eV/f.u.

Cell: 4.365 4.365 3.974 Å, 90.00 90.00 90.00°
Element x y z (fractional)
Zr: 0.000 0.000 0.000
Pt: 0.500 0.500 0.500
O: 0.500 0.500 0.000
F: 0.000 0.500 0.500
F: 0.500 0.000 0.500

(10)
Below is a relaxed CuBi3F crystal, with properties calculated at the PBE level.

Its volume is 127.17 Å³ per cell. As for the offset from the most stable computed form: 0 meV/atom. For the uncorrected formation energy, the calculation gives 0.063 eV/atom. The calculation puts the density of states at the Fermi level at 4.2 states/eV/f.u.

Cell: 5.029 5.029 5.029 Å, 90.00 90.00 90.00°
Element x y z (fractional)
Cu: 0.000 0.000 0.000
Bi: 0.000 0.500 0.500
Bi: 0.500 0.000 0.500
Bi: 0.500 0.500 0.000
F: 0.500 0.500 0.500

(11)
Below is a relaxed Tb12PrTm3 crystal, with properties calculated at the PBE level.

Its volume is 508.83 Å³ per cell. The calculation puts the density of states at the Fermi level at 21.8 states/eV/f.u. The energy relative to the elements comes out at 0.02 eV/atom.

Cell: 5.030 5.030 20.114 Å, 90.00 90.00 90.00°
Element x y z (fractional)
Tb: 0.000 0.000 0.000
Tb: 0.000 0.000 0.248
Tb: 0.000 0.000 0.500
Tb: 0.000 0.000 0.752
Tb: 0.000 0.500 0.124
Tb: 0.000 0.500 0.372
Tb: 0.000 0.500 0.628
Tb: 0.000 0.500 0.876
Tb: 0.500 0.000 0.124
Tb: 0.500 0.000 0.372
Tb: 0.500 0.000 0.628
Tb: 0.500 0.000 0.876
Pr: 0.500 0.500 0.500
Tm: 0.500 0.500 0.000
Tm: 0.500 0.500 0.248
Tm: 0.500 0.500 0.752

(12)
Below is a relaxed SrCd3Br8 crystal, with properties calculated at the PBE level.

Its volume is 411.55 Å³ per cell. For the uncorrected formation energy, the calculation gives -1.153 eV/atom. The calculation puts the density of states at the Fermi level at 0.0 states/eV/f.u.

Cell: 8.305 8.305 8.356 Å, 119.63 119.63 60.58°
Element x y z (fractional)
Sr: 0.000 0.000 0.000
Cd: 0.000 0.500 0.500
Cd: 0.500 0.000 0.500
Cd: 0.500 0.500 0.000
Br: 0.256 0.256 0.741
Br: 0.257 0.257 0.280
Br: 0.257 0.723 0.745
Br: 0.277 0.743 0.255
Br: 0.723 0.257 0.745
Br: 0.743 0.277 0.255
Br: 0.743 0.743 0.720
Br: 0.744 0.744 0.259

(13)
Below is a relaxed Nd4CuIr2 crystal, with properties calculated at the PBE level.

Its volume is 357.67 Å³ per cell. The calculation puts the density of states at the Fermi level at 5.0 states/eV/f.u. The energy relative to the elements comes out at -0.45 eV/atom.

Cell: 7.744 7.744 8.913 Å, 125.11 125.11 70.68°
Element x y z (fractional)
Nd: 0.063 0.063 0.259
Nd: 0.307 0.565 0.632
Nd: 0.435 0.693 0.368
Nd: 0.436 0.193 0.869
Nd: 0.563 0.066 0.261
Nd: 0.807 0.564 0.131
Nd: 0.934 0.437 0.739
Nd: 0.937 0.937 0.741
Cu: 0.185 0.315 0.126
Cu: 0.685 0.815 0.874
Ir: 0.069 0.931 0.500
Ir: 0.303 0.697 0.000
Ir: 0.568 0.197 0.633
Ir: 0.803 0.432 0.367

(14)
Below is a relaxed Pr4NdDyTm2 crystal, with properties calculated at the PBE level.

Its volume is 269.88 Å³ per cell. The calculation puts the density of states at the Fermi level at 10.4 states/eV/f.u. The energy relative to the elements comes out at 0.02 eV/atom.

Cell: 6.292 3.650 11.941 Å, 90.00 100.18 90.00°
Element x y z (fractional)
Pr: 0.248 0.000 0.246
Pr: 0.249 0.500 0.750
Pr: 0.751 0.500 0.250
Pr: 0.752 0.000 0.754
Nd: 0.500 0.500 0.500
Dy: 0.500 0.000 0.000
Tm: 0.000 0.000 0.500
Tm: 0.000 0.500 0.000

(15)
Below is a relaxed Tl2RuSe crystal, with properties calculated at the PBE level.

Its volume is 87.37 Å³ per cell. As for the offset from the most stable computed form: 526 meV/atom. For the uncorrected formation energy, the calculation gives 0.600 eV/atom. The calculation puts the density of states at the Fermi level at 3.0 states/eV/f.u.

Cell: 3.536 4.791 5.157 Å, 90.00 90.00 90.00°
Element x y z (fractional)
Tl: 0.000 0.000 0.000
Tl: 0.500 0.000 0.500
Ru: 0.000 0.500 0.500
Se: 0.500 0.500 0.000

(16)
Below is a relaxed Na2TaBSe crystal, with properties calculated at the PBE level.

Its volume is 128.85 Å³ per cell. For the uncorrected formation energy, the calculation gives 1.473 eV/atom. The calculation puts the density of states at the Fermi level at 5.0 states/eV/f.u.

Cell: 5.662 5.662 4.019 Å, 90.00 90.00 90.00°
Element x y z (fractional)
Na: 0.000 0.500 0.000
Na: 0.500 0.000 0.000
Ta: 0.000 0.000 0.500
B: 0.500 0.500 0.500
Se: 0.500 0.500 0.000

(17)
Below is a relaxed PmNd2Ho2Tm crystal, with properties calculated at the PBE level.

Its volume is 392.05 Å³ per cell. The calculation puts the density of states at the Fermi level at 8.9 states/eV/f.u. The energy relative to the elements comes out at 0.07 eV/atom.

Cell: 6.996 5.677 9.872 Å, 90.00 90.00 90.00°
Element x y z (fractional)
Pm: 0.000 0.000 0.000
Pm: 0.500 0.000 0.000
Nd: 0.000 0.500 0.500
Nd: 0.250 0.000 0.330
Nd: 0.500 0.500 0.500
Nd: 0.750 0.000 0.670
Ho: 0.250 0.000 0.665
Ho: 0.250 0.500 0.167
Ho: 0.750 0.000 0.335
Ho: 0.750 0.500 0.833
Tm: 0.250 0.500 0.836
Tm: 0.750 0.500 0.164

(18)
Below is a relaxed Rb2Pu2SnSe6 crystal, with properties calculated at the PBE level.

Its volume is 379.15 Å³ per cell. For the uncorrected formation energy, the calculation gives -1.157 eV/atom. The calculation puts the density of states at the Fermi level at 18.2 states/eV/f.u.

Cell: 7.382 7.382 8.386 Å, 97.89 97.89 120.32°
Element x y z (fractional)
Rb: 0.161 0.839 0.000
Rb: 0.839 0.161 0.000
Pu: 0.334 0.666 0.500
Pu: 0.666 0.334 0.500
Sn: 0.000 0.000 0.500
Se: 0.058 0.408 0.688
Se: 0.291 0.291 0.310
Se: 0.408 0.058 0.688
Se: 0.592 0.942 0.312
Se: 0.709 0.709 0.690
Se: 0.942 0.592 0.312

(19)
Below is a relaxed BaZnSeN2 crystal, with properties calculated at the PBE level.

Its volume is 149.53 Å³ per cell. As for the offset from the most stable computed form: 998 meV/atom. For the uncorrected formation energy, the calculation gives 1.564 eV/atom. The calculation puts the density of states at the Fermi level at 3.5 states/eV/f.u.

Cell: 4.709 4.709 6.744 Å, 90.00 90.00 90.00°
Element x y z (fractional)
Ba: 0.000 0.000 0.000
Zn: 0.500 0.500 0.500
Se: 0.000 0.000 0.500
N: 0.000 0.500 0.000
N: 0.500 0.000 0.000

(20)
Below is a relaxed Ba3ZnCd2 crystal, with properties calculated at the PBE level.

Its volume is 223.87 Å³ per cell. The calculation puts the density of states at the Fermi level at 4.5 states/eV/f.u. The energy relative to the elements comes out at -0.27 eV/atom.

Cell: 4.209 4.209 12.634 Å, 90.00 90.00 90.00°
Element x y z (fractional)
Ba: 0.000 0.000 0.000
Ba: 0.000 0.000 0.341
Ba: 0.000 0.000 0.659
Zn: 0.500 0.500 0.500
Cd: 0.500 0.500 0.170
Cd: 0.500 0.500 0.830